No. 1
! RbTl2PtCl6 | the Alexandria database | GGA-PBE | relaxed; values from VASP
&SYSTEM
  ibrav = 0, nat = 20, ntyp = 4
/
ATOMIC_SPECIES
Rb 85.47 Rb.upf
Tl 204.38 Tl.upf
Pt 195.08 Pt.upf
Cl 35.45 Cl.upf
CELL_PARAMETERS angstrom
-2.522 4.624 -4.889
-7.088 0.880 -0.794
-2.980 13.387 8.916
ATOMIC_POSITIONS crystal
Rb 0.584 0.584 0.247
Rb 0.416 0.416 0.753
Tl 0.852 0.852 0.443
Tl 0.148 0.148 0.557
Tl 0.685 0.685 0.944
Tl 0.315 0.315 0.056
Pt 0.000 0.000 0.000
Pt 0.500 0.500 0.500
Cl 0.851 0.369 0.412
Cl 0.369 0.851 0.412
Cl 0.369 0.369 0.412
Cl 0.149 0.631 0.588
Cl 0.631 0.149 0.588
Cl 0.631 0.631 0.588
Cl 0.709 0.190 0.912
Cl 0.190 0.709 0.912
Cl 0.190 0.190 0.912
Cl 0.291 0.810 0.088
Cl 0.810 0.291 0.088
Cl 0.810 0.810 0.088
! - crystal system = trigonal
! - magnetization (μB per atom) = 0.104
! - ΔE_f (raw) (eV/atom) = -0.93



No. 2
! RbVPt2Cl | the Alexandria database | GGA-PBE | relaxed; values from VASP
&SYSTEM
  ibrav = 0, nat = 5, ntyp = 4
/
ATOMIC_SPECIES
Cl 35.45 Cl.upf
Rb 85.47 Rb.upf
Pt 195.08 Pt.upf
V 50.94 V.upf
CELL_PARAMETERS angstrom
-4.367 0.189 -1.922
-1.744 -3.388 3.628
-1.107 3.648 2.874
ATOMIC_POSITIONS crystal
Cl 0.000 0.500 0.000
Rb 0.500 0.500 0.500
Pt 0.000 0.000 0.500
Pt 0.500 0.000 0.000
V 0.000 0.000 0.000
! - crystal system = tetragonal
! - magnetization (μB per atom) = 0.289
! - ΔE_f (raw) (eV/atom) = -0.02



No. 3
! Rb2ZnPtCl6 | the Alexandria database | GGA-PBE | relaxed; values from VASP
&SYSTEM
  ibrav = 0, nat = 10, ntyp = 4
/
ATOMIC_SPECIES
Zn 65.41 Zn.upf
Rb 85.47 Rb.upf
Pt 195.08 Pt.upf
Cl 35.45 Cl.upf
CELL_PARAMETERS angstrom
-5.849 0.771 4.429
3.809 -3.010 5.554
0.452 3.004 6.217
ATOMIC_POSITIONS crystal
Zn 0.500 0.500 0.000
Rb 0.750 0.250 0.500
Rb 0.250 0.750 0.500
Pt 0.000 0.000 0.000
Cl 0.255 0.255 0.489
Cl 0.745 0.745 0.511
Cl 0.245 0.245 0.000
Cl 0.755 0.755 0.000
Cl 0.755 0.245 0.000
Cl 0.245 0.755 0.000
! - crystal system = tetragonal
! - magnetization (μB per atom) = 0.000
! - ΔE_f (raw) (eV/atom) = -1.07



No. 4
! Rb2ZrPtCl6 | the Alexandria database | GGA-PBE | relaxed; values from VASP
&SYSTEM
  ibrav = 0, nat = 10, ntyp = 4
/
ATOMIC_SPECIES
Rb 85.47 Rb.upf
Zr 91.22 Zr.upf
Pt 195.08 Pt.upf
Cl 35.45 Cl.upf
CELL_PARAMETERS angstrom
-2.617 -3.089 -7.288
-4.834 -5.454 4.048
-7.144 -1.273 -1.663
ATOMIC_POSITIONS crystal
Rb 0.750 0.250 0.500
Rb 0.250 0.750 0.500
Zr 0.500 0.500 0.000
Pt 0.000 0.000 0.000
Cl 0.239 0.239 0.522
Cl 0.761 0.761 0.478
Cl 0.286 0.286 0.000
Cl 0.714 0.714 0.000
Cl 0.714 0.286 0.000
Cl 0.286 0.714 0.000
! - crystal system = tetragonal
! - magnetization (μB per atom) = 0.000
! - ΔE_f (raw) (eV/atom) = -1.39



No. 5
! RePt3Cl | the Alexandria database | GGA-PBE | relaxed; values from VASP
&SYSTEM
  ibrav = 0, nat = 5, ntyp = 3
/
ATOMIC_SPECIES
Re 186.21 Re.upf
Pt 195.08 Pt.upf
Cl 35.45 Cl.upf
CELL_PARAMETERS angstrom
4.517 0.000 0.000
0.000 4.517 0.000
0.000 0.000 4.517
ATOMIC_POSITIONS crystal
Re 0.500 0.500 0.500
Pt 0.000 0.500 0.000
Pt 0.000 0.000 0.500
Pt 0.500 0.000 0.000
Cl 0.000 0.000 0.000
! - crystal system = cubic
! - magnetization (μB per atom) = 0.762
! - ΔE_f (raw) (eV/atom) = 1.58



No. 6
! RePtCl | the Alexandria database | GGA-PBE | relaxed; values from VASP
&SYSTEM
  ibrav = 0, nat = 3, ntyp = 3
/
ATOMIC_SPECIES
Cl 35.45 Cl.upf
Pt 195.08 Pt.upf
Re 186.21 Re.upf
CELL_PARAMETERS angstrom
-2.543 3.454 0.943
-1.221 -4.030 1.245
1.356 0.337 2.422
ATOMIC_POSITIONS crystal
Cl 0.000 0.000 0.833
Pt 0.667 0.333 0.334
Re 0.333 0.667 0.833
! - crystal system = hexagonal
! - magnetization (μB per atom) = 0.000
! - ΔE_f (raw) (eV/atom) = 0.85



No. 7
! RePt2Cl | the Alexandria database | GGA-PBE | relaxed; values from VASP
&SYSTEM
  ibrav = 0, nat = 4, ntyp = 3
/
ATOMIC_SPECIES
Cl 35.45 Cl.upf
Pt 195.08 Pt.upf
Re 186.21 Re.upf
CELL_PARAMETERS angstrom
8.891 -0.008 -0.005
8.418 2.863 -0.005
8.418 1.388 2.503
ATOMIC_POSITIONS crystal
Cl 0.750 0.750 0.750
Pt 0.997 0.997 0.997
Pt 0.503 0.503 0.503
Re 0.250 0.250 0.250
! - crystal system = trigonal
! - magnetization (μB per atom) = 0.000
! - ΔE_f (raw) (eV/atom) = 0.22



No. 8
! RePt2Cl | the Alexandria database | GGA-PBE | relaxed; values from VASP
&SYSTEM
  ibrav = 0, nat = 4, ntyp = 3
/
ATOMIC_SPECIES
Re 186.21 Re.upf
Pt 195.08 Pt.upf
Cl 35.45 Cl.upf
CELL_PARAMETERS angstrom
-0.795 -3.505 2.767
-4.079 -0.492 1.923
-2.743 -3.360 -1.327
ATOMIC_POSITIONS crystal
Re 0.500 0.500 0.500
Pt 0.250 0.250 0.250
Pt 0.750 0.750 0.750
Cl 0.000 0.000 0.000
! - crystal system = cubic
! - magnetization (μB per atom) = 0.465
! - ΔE_f (raw) (eV/atom) = 0.91



No. 9
! RePt2Cl | the Alexandria database | GGA-PBE | relaxed; values from VASP
&SYSTEM
  ibrav = 0, nat = 4, ntyp = 3
/
ATOMIC_SPECIES
Cl 35.45 Cl.upf
Pt 195.08 Pt.upf
Re 186.21 Re.upf
CELL_PARAMETERS angstrom
-2.088 1.264 -1.422
1.000 -2.502 -0.849
-6.353 -4.384 5.436
ATOMIC_POSITIONS crystal
Cl 0.500 0.500 0.750
Pt 0.000 0.000 0.008
Pt 0.000 0.000 0.492
Re 0.500 0.500 0.250
! - crystal system = orthorhombic
! - magnetization (μB per atom) = 0.000
! - ΔE_f (raw) (eV/atom) = 0.37



No. 10
! RePt2Cl | the Alexandria database | GGA-PBE | relaxed; values from VASP
&SYSTEM
  ibrav = 0, nat = 4, ntyp = 3
/
ATOMIC_SPECIES
Cl 35.45 Cl.upf
Pt 195.08 Pt.upf
Re 186.21 Re.upf
CELL_PARAMETERS angstrom
-4.947 2.942 -1.811
2.919 -1.403 -3.592
-2.059 -1.512 -1.082
ATOMIC_POSITIONS crystal
Cl 0.500 0.500 0.000
Pt 0.000 0.000 0.000
Pt 0.500 0.000 0.500
Re 0.000 0.500 0.500
! - crystal system = monoclinic
! - magnetization (μB per atom) = 0.000
! - ΔE_f (raw) (eV/atom) = 0.72



No. 11
! RePt2Cl | the Alexandria database | GGA-PBE | relaxed; values from VASP
&SYSTEM
  ibrav = 0, nat = 4, ntyp = 3
/
ATOMIC_SPECIES
Cl 35.45 Cl.upf
Pt 195.08 Pt.upf
Re 186.21 Re.upf
CELL_PARAMETERS angstrom
-4.752 0.620 -4.020
-3.073 -4.235 -3.427
2.033 2.548 5.338
ATOMIC_POSITIONS crystal
Cl 0.250 0.750 0.500
Pt 0.953 0.953 0.000
Pt 0.547 0.547 0.000
Re 0.750 0.250 0.500
! - crystal system = orthorhombic
! - magnetization (μB per atom) = 0.002
! - ΔE_f (raw) (eV/atom) = 0.60



No. 12
! RePt2Cl | the Alexandria database | GGA-PBE | relaxed; values from VASP
&SYSTEM
  ibrav = 0, nat = 4, ntyp = 3
/
ATOMIC_SPECIES
Cl 35.45 Cl.upf
Pt 195.08 Pt.upf
Re 186.21 Re.upf
CELL_PARAMETERS angstrom
-0.866 2.724 3.429
-0.984 -3.515 2.570
3.936 0.214 -2.095
ATOMIC_POSITIONS crystal
Cl 0.750 0.250 0.500
Pt 0.000 0.000 0.000
Pt 0.250 0.750 0.500
Re 0.500 0.500 0.000
! - crystal system = tetragonal
! - magnetization (μB per atom) = 0.000
! - ΔE_f (raw) (eV/atom) = 0.75



Question: ΔE_f (raw) of number 3 (Rb2ZnPtCl6)?
Answer: -1.07 eV/atom



Question: Number 1 is which compound?
Answer: RbTl2PtCl6



Question: Which value of magnetization does entry 4 give?
Answer: 0.000 μB per atom